Here is an optimized crystal structure of BaAuSe from Alexandria. Energies are from PBEsol.

electronic total energy = -12.19 eV/cell
E_form (uncorrected) = -2.262 eV/f.u.
space-group type = F-43m

```
BaAuSe
1.0
-2.4295 -0.5082 -4.4510
-2.4842 -4.3197 -1.0684
-5.0944 -0.0439 -0.1319
Ba Se Au
1 1 1
Direct
0.5000 0.5000 0.5000
0.2500 0.2500 0.2500
0.0000 0.0000 0.0000
```


Here is an optimized crystal structure of TiGeF2 from Alexandria. Energies are from PBEsol.

electronic total energy = -23.25 eV/cell
E_form (uncorrected) = -6.130 eV/f.u.
space-group type = R-3m

```
TiGeF2
1.0
-2.0553 2.0473 -0.3285
-0.9448 0.7045 -2.6711
-6.7935 -4.8123 -0.4618
Ge Ti F
1 1 2
Direct
0.5000 0.5000 0.5000
0.0000 0.0000 0.0000
0.0753 0.0753 0.7741
0.9247 0.9247 0.2259
```